[1]
! Ac2O2F (PBE, optimized geometry); values from VASP
&SYSTEM
  ibrav = 0, nat = 10, ntyp = 3
/
ATOMIC_SPECIES
Ac 227.00 Ac.upf
O 16.00 O.upf
F 19.00 F.upf
ATOMIC_POSITIONS crystal
Ac 0.8741 0.3853 0.2482
Ac 0.8740 0.8628 0.2482
Ac 0.1260 0.1372 0.7518
Ac 0.1259 0.6147 0.7518
O 0.6617 0.4117 0.8234
O 0.0046 0.7546 0.5093
O 0.9954 0.2454 0.4907
O 0.3383 0.5883 0.1766
F 0.3205 0.0705 0.1409
F 0.6795 0.9295 0.8591
CELL_PARAMETERS angstrom
-3.2282 -1.6862 -1.2930
1.4999 -5.6491 3.6279
-2.7858 6.3251 4.4794
! Formation energy without anion corrections   -2945 meV/atom
! Total magnetic moment   0.3 μB per cell

[2]
! TmScOsO6 (PBE, optimized geometry); values from VASP
&SYSTEM
  ibrav = 0, nat = 18, ntyp = 4
/
ATOMIC_SPECIES
Tm 168.93 Tm.upf
Sc 44.96 Sc.upf
Os 190.23 Os.upf
O 16.00 O.upf
ATOMIC_POSITIONS crystal
Tm 0.0000 0.0000 0.0000
Tm 0.0000 0.0000 0.5000
Sc 0.3333 0.6667 0.2500
Sc 0.6667 0.3333 0.7500
Os 0.6667 0.3333 0.2500
Os 0.3333 0.6667 0.7500
O 0.6618 0.6373 0.1362
O 0.9755 0.3382 0.1362
O 0.3382 0.9755 0.6362
O 0.0245 0.6618 0.8638
O 0.3627 0.3382 0.3638
O 0.9755 0.6373 0.3638
O 0.6373 0.9755 0.8638
O 0.6618 0.0245 0.3638
O 0.0245 0.3627 0.6362
O 0.3627 0.0245 0.1362
O 0.6373 0.6618 0.6362
O 0.3382 0.3627 0.8638
CELL_PARAMETERS angstrom
-3.9979 2.4623 -2.3737
3.6864 -2.4099 -2.8781
-5.1038 -8.0727 0.2221
! Formation energy without anion corrections   -2398 meV/atom
! Total magnetic moment   4.0 μB per cell

[3]
! PaTcGe2 (PBE, optimized geometry); values from VASP
&SYSTEM
  ibrav = 0, nat = 4, ntyp = 3
/
ATOMIC_SPECIES
Ge 72.64 Ge.upf
Pa 231.04 Pa.upf
Tc 98.00 Tc.upf
ATOMIC_POSITIONS crystal
Ge 0.0000 0.0000 0.7034
Ge 0.0000 0.0000 0.2966
Pa 0.5000 0.5000 0.0000
Tc 0.5000 0.5000 0.5000
CELL_PARAMETERS angstrom
3.2058 0.0000 0.0000
0.0000 3.2058 0.0000
0.0000 0.0000 6.9690
! Energy of formation from the pure elements   -0.8 eV per formula unit
! Polymorph energy (0 for the lowest one)   0.241 eV/atom
! Total magnetic moment   0.7 μB per cell

[4]
! NdErAl2 (PBE, optimized geometry); values from VASP
&SYSTEM
  ibrav = 0, nat = 4, ntyp = 3
/
ATOMIC_SPECIES
Nd 144.24 Nd.upf
Al 26.98 Al.upf
Er 167.26 Er.upf
ATOMIC_POSITIONS crystal
Nd 0.5000 0.5000 0.5000
Al 0.7472 0.7472 0.7583
Al 0.2528 0.2528 0.2417
Er 0.0000 0.0000 0.0000
CELL_PARAMETERS angstrom
3.6275 0.0000 0.0000
1.8137 3.1415 0.0000
1.8137 1.0472 9.2996
! Energy of formation from the pure elements   -0.5 eV per formula unit
! Polymorph energy (0 for the lowest one)   0.253 eV/atom
! Total magnetic moment   0.0 μB per cell

[5]
! La8Pt3SeBr4 (PBE, optimized geometry); values from VASP
&SYSTEM
  ibrav = 0, nat = 16, ntyp = 4
/
ATOMIC_SPECIES
La 138.91 La.upf
Pt 195.08 Pt.upf
Se 78.96 Se.upf
Br 79.90 Br.upf
ATOMIC_POSITIONS crystal
La 0.2431 0.7188 0.9757
La 0.2431 0.7185 0.4862
La 0.2664 0.2994 0.5328
La 0.7325 0.7188 0.9757
La 0.2675 0.2812 0.0243
La 0.7336 0.7006 0.4672
La 0.7569 0.2815 0.5138
La 0.7569 0.2812 0.0243
Pt 0.5000 0.5000 0.0000
Pt 0.5000 0.5000 0.5000
Pt 0.0000 0.5000 0.5000
Se 0.0000 0.5000 0.0000
Br 0.5000 0.0000 0.0000
Br 0.5000 0.0000 0.5000
Br 0.0000 0.0000 0.0000
Br 0.0000 0.0000 0.5000
CELL_PARAMETERS angstrom
8.6087 0.0000 0.0000
0.0000 9.0188 0.2842
-4.3044 -4.3010 6.0902
! Formation energy without anion corrections   -1394 meV/atom
! Total magnetic moment   0.0 μB per cell

[6]
! KErBi2 (PBE, optimized geometry); values from VASP
&SYSTEM
  ibrav = 0, nat = 4, ntyp = 3
/
ATOMIC_SPECIES
K 39.10 K.upf
Bi 208.98 Bi.upf
Er 167.26 Er.upf
ATOMIC_POSITIONS crystal
K 0.5000 0.5000 0.5000
Bi 0.0000 0.0000 0.7811
Bi 0.0000 0.0000 0.2189
Er 0.5000 0.5000 0.0000
CELL_PARAMETERS angstrom
-0.9847 0.8723 -3.4547
2.0433 -2.7980 -1.2889
-7.5559 -5.8315 0.6812
! Energy of formation from the pure elements   -2.0 eV per formula unit
! Polymorph energy (0 for the lowest one)   0.000 eV/atom
! Total magnetic moment   0.0 μB per cell